A plane-wave DFT calculation with PBE+U was carried out for a relaxed Ac2PrCrO6 crystal.

Structure (extended XYZ):
```
10
Lattice="-3.822 4.677 -0.095 -1.858 -1.629 -5.406 -0.068 -4.119 4.532" Properties=species:S:1:pos:R:3 pbc="T T T"
O -2.924 -1.708 -1.748
O -1.167 -2.897 2.986
O -2.140 -3.750 0.154
O -2.824 0.636 0.779
O -4.581 1.825 -3.954
O -3.608 2.679 -1.123
Pr -0.929 -0.814 -2.703
Ac -1.402 -1.426 0.912
Ac -4.345 0.355 -1.881
Cr -1.911 2.338 -0.048
```

Summary:
space-group type = C2/m (12)
calculated total energy = -79.58 eV/cell